a) Material: Ce2PrDy
Method: DFT, PBE
State: relaxed

The total magnetization comes out at 1.66 μB per formula unit. Its space group is No. 123.

Unit cell a=5.143 b=4.939 c=4.939 alpha=90.00 beta=90.00 gamma=90.00
Last column: magnetic moment on the atom in μB.
Sites, in units of the cell vectors:
Pr: 0.500 0.000 0.000  0.01
Ce: 0.000 0.000 0.500  0.65
Ce: 0.000 0.500 0.000  0.65
Dy: 0.500 0.500 0.500  0.03



b) Material: Ce2PrDy
Method: DFT, PBE
State: relaxed

The total magnetization comes out at 0.43 μB per formula unit. Its space group is No. 160.

Unit cell a=3.562 b=3.562 c=11.338 alpha=80.96 beta=80.96 gamma=60.00
Last column: magnetic moment on the atom in μB.
Sites, in units of the cell vectors:
Ce: 0.085 0.085 0.745  -0.43
Ce: 0.248 0.248 0.256  0.70
Pr: 0.668 0.668 0.997  0.02
Dy: 0.499 0.499 0.502  0.03



Short version: a) is the most stable of them.



a) Material: Ce2PrDy
Method: DFT, PBE
State: relaxed

The total magnetization comes out at 3.35 μB per formula unit. Its space group is No. 225.

Unit cell a=5.706 b=5.706 c=5.706 alpha=60.00 beta=60.00 gamma=60.00
Last column: magnetic moment on the atom in μB.
Sites, in units of the cell vectors:
Pr: 0.500 0.500 0.500  0.21
Ce: 0.250 0.250 0.250  0.96
Ce: 0.750 0.750 0.750  0.96
Dy: 0.000 0.000 0.000  0.24



b) Material: Ce2PrDy
Method: DFT, PBE
State: relaxed

The total magnetization comes out at 1.60 μB per formula unit. Its space group is No. 123.

Unit cell a=3.500 b=3.500 c=10.269 alpha=90.00 beta=90.00 gamma=90.00
Last column: magnetic moment on the atom in μB.
Sites, in units of the cell vectors:
Pr: 0.500 0.500 0.500  0.01
Ce: 0.000 0.000 0.754  0.62
Ce: 0.000 0.000 0.246  0.62
Dy: 0.500 0.500 0.000  0.05



c) Material: Ce2PrDy
Method: DFT, PBE
State: relaxed

The total magnetization comes out at 1.64 μB per formula unit. Its space group is No. 166.

Unit cell a=3.516 b=3.516 c=11.876 alpha=81.49 beta=81.49 gamma=60.00
Last column: magnetic moment on the atom in μB.
Sites, in units of the cell vectors:
Pr: 0.500 0.500 0.500  0.01
Ce: 0.748 0.748 0.755  0.65
Ce: 0.252 0.252 0.245  0.65
Dy: 0.000 0.000 0.000  0.00



Short version: c) is the most stable of them.



a) Material: CePr2Dy
Method: DFT, PBE
State: relaxed

The total magnetization comes out at 0.78 μB per formula unit. Its space group is No. 123.

Unit cell a=5.098 b=5.125 c=5.125 alpha=90.00 beta=90.00 gamma=90.00
Last column: magnetic moment on the atom in μB.
Sites, in units of the cell vectors:
Pr: 0.000 0.000 0.500  -0.01
Pr: 0.000 0.500 0.000  -0.01
Ce: 0.500 0.500 0.500  0.67
Dy: 0.500 0.000 0.000  0.01



b) Material: CePr2Dy
Method: DFT, PBE
State: relaxed

The total magnetization comes out at 0.82 μB per formula unit. Its space group is No. 160.

Unit cell a=3.617 b=3.617 c=11.992 alpha=81.33 beta=81.33 gamma=60.00
Last column: magnetic moment on the atom in μB.
Sites, in units of the cell vectors:
Ce: 0.500 0.500 0.500  0.72
Pr: 0.083 0.083 0.750  0.00
Pr: 0.250 0.250 0.251  -0.01
Dy: 0.667 0.667 0.999  -0.05



Short version: b) is the most stable of them.



a) Material: CePr2Dy
Method: DFT, PBE
State: relaxed

The total magnetization comes out at 0.68 μB per formula unit. Its space group is No. 123.

Unit cell a=3.594 b=3.594 c=10.305 alpha=90.00 beta=90.00 gamma=90.00
Last column: magnetic moment on the atom in μB.
Sites, in units of the cell vectors:
Pr: 0.000 0.000 0.745  0.00
Pr: 0.000 0.000 0.255  0.00
Ce: 0.500 0.500 0.500  0.57
Dy: 0.500 0.500 0.000  -0.01



b) Material: CePr2Dy
Method: DFT, PBE
State: relaxed

The total magnetization comes out at 0.93 μB per formula unit. Its space group is No. 166.

Unit cell a=3.498 b=3.498 c=12.775 alpha=82.13 beta=82.13 gamma=60.00
Last column: magnetic moment on the atom in μB.
Sites, in units of the cell vectors:
Pr: 0.088 0.088 0.736  -0.02
Pr: 0.912 0.912 0.264  -0.02
Ce: 0.000 0.000 0.000  0.79
Dy: 0.500 0.500 0.500  0.02



c) Material: CePr2Dy
Method: DFT, PBE
State: relaxed

The total magnetization comes out at 3.20 μB per formula unit. Its space group is No. 225.

Unit cell a=5.786 b=5.786 c=5.786 alpha=60.00 beta=60.00 gamma=60.00
Last column: magnetic moment on the atom in μB.
Sites, in units of the cell vectors:
Pr: 0.250 0.250 0.250  0.29
Pr: 0.750 0.750 0.750  0.29
Ce: 0.500 0.500 0.500  1.12
Dy: 0.000 0.000 0.000  0.37



Short version: a) is the most stable of them.



a) Material: CePrDy2
Method: DFT, PBE
State: relaxed

The total magnetization comes out at 0.85 μB per formula unit. Its space group is No. 225.

Unit cell a=5.706 b=5.706 c=5.706 alpha=60.00 beta=60.00 gamma=60.00
Last column: magnetic moment on the atom in μB.
Sites, in units of the cell vectors:
Pr: 0.500 0.500 0.500  0.01
Ce: 0.000 0.000 0.000  0.67
Dy: 0.250 0.250 0.250  0.02
Dy: 0.750 0.750 0.750  0.02



b) Material: CePrDy2
Method: DFT, PBE
State: relaxed

The total magnetization comes out at 0.38 μB per formula unit. Its space group is No. 12.

Unit cell a=3.442 b=6.494 c=11.682 alpha=86.10 beta=98.47 gamma=90.00
Last column: magnetic moment on the atom in μB.
Sites, in units of the cell vectors:
Ce: 0.499 0.209 0.998  0.34
Ce: 0.501 0.791 0.002  0.34
Pr: 0.250 0.256 0.500  0.00
Pr: 0.750 0.744 0.500  0.00
Dy: 0.121 0.968 0.242  0.01
Dy: 0.377 0.531 0.754  -0.01
Dy: 0.623 0.469 0.246  -0.01
Dy: 0.879 0.032 0.758  0.01



c) Material: CePrDy2
Method: DFT, PBE
State: relaxed

The total magnetization comes out at 0.68 μB per formula unit. Its space group is No. 123.

Unit cell a=4.999 b=5.084 c=5.084 alpha=90.00 beta=90.00 gamma=90.00
Last column: magnetic moment on the atom in μB.
Sites, in units of the cell vectors:
Pr: 0.500 0.000 0.000  -0.01
Ce: 0.500 0.500 0.500  0.60
Dy: 0.000 0.000 0.500  0.01
Dy: 0.000 0.500 0.000  0.01



d) Material: CePrDy2
Method: DFT, PBE
State: relaxed

The total magnetization comes out at 1.07 μB per formula unit. Its space group is No. 160.

Unit cell a=3.574 b=3.574 c=11.852 alpha=81.33 beta=81.33 gamma=60.00
Last column: magnetic moment on the atom in μB.
Sites, in units of the cell vectors:
Ce: 0.500 0.500 0.499  0.78
Pr: 0.666 0.666 0.001  -0.01
Dy: 0.084 0.084 0.747  0.03
Dy: 0.249 0.249 0.254  0.05



Short version: d) is the most stable of them.



a) Material: CePrDy2
Method: DFT, PBE
State: relaxed

The total magnetization comes out at 0.11 μB per formula unit. Its space group is No. 166.

Unit cell a=3.471 b=3.471 c=12.481 alpha=82.01 beta=82.01 gamma=60.00
Last column: magnetic moment on the atom in μB.
Sites, in units of the cell vectors:
Pr: 0.000 0.000 0.000  -0.01
Ce: 0.500 0.500 0.500  0.12
Dy: 0.092 0.092 0.724  -0.01
Dy: 0.908 0.908 0.276  -0.01



b) Material: CePrDy2
Method: DFT, PBE
State: relaxed

The total magnetization comes out at 0.61 μB per formula unit. Its space group is No. 123.

Unit cell a=3.569 b=3.569 c=10.052 alpha=90.00 beta=90.00 gamma=90.00
Last column: magnetic moment on the atom in μB.
Sites, in units of the cell vectors:
Pr: 0.500 0.500 0.500  0.00
Ce: 0.500 0.500 0.000  0.51
Dy: 0.000 0.000 0.762  0.00
Dy: 0.000 0.000 0.238  0.00



Short version: b) is the most stable of them.



a) Material: Ce2DyPt9
Method: DFT, PBE
State: relaxed

The total magnetization comes out at 0.98 μB per formula unit. Its space group is No. 166.

Unit cell a=5.413 b=5.413 c=9.501 alpha=73.45 beta=73.45 gamma=60.00
Last column: magnetic moment on the atom in μB.
Sites, in units of the cell vectors:
Ce: 0.861 0.861 0.416  0.50
Ce: 0.139 0.139 0.584  0.50
Dy: 0.000 0.000 0.000  0.02
Pt: 0.667 0.667 0.999  -0.01
Pt: 0.333 0.333 0.001  -0.01
Pt: 0.500 0.500 0.500  -0.02
Pt: 0.414 0.414 0.254  -0.03
Pt: 0.919 0.414 0.254  -0.03
Pt: 0.414 0.919 0.254  -0.03
Pt: 0.586 0.586 0.746  -0.03
Pt: 0.586 0.081 0.746  -0.03
Pt: 0.081 0.586 0.746  -0.03



b) Material: Ce2DyPt9
Method: DFT, PBE
State: relaxed

The total magnetization comes out at 0.17 μB per formula unit. Its space group is No. 123.

Unit cell a=4.154 b=4.154 c=12.446 alpha=90.00 beta=90.00 gamma=90.00
Last column: magnetic moment on the atom in μB.
Sites, in units of the cell vectors:
Ce: 0.000 0.000 0.331  -0.10
Ce: 0.000 0.000 0.669  -0.10
Dy: 0.000 0.000 0.000  0.00
Pt: 0.500 0.500 0.000  0.00
Pt: 0.500 0.500 0.332  0.01
Pt: 0.500 0.500 0.668  0.01
Pt: 0.500 0.000 0.167  0.01
Pt: 0.500 0.000 0.500  0.01
Pt: 0.500 0.000 0.833  0.01
Pt: 0.000 0.500 0.167  0.01
Pt: 0.000 0.500 0.500  0.01
Pt: 0.000 0.500 0.833  0.01



Short version: b) is the most stable of them.



a) Material: CeDy2Pt
Method: DFT, PBE
State: relaxed

The total magnetization comes out at 1.12 μB per formula unit. Its space group is No. 123.

Unit cell a=3.528 b=3.528 c=8.477 alpha=90.00 beta=90.00 gamma=90.00
Last column: magnetic moment on the atom in μB.
Sites, in units of the cell vectors:
Ce: 0.500 0.500 0.500  0.76
Pt: 0.500 0.500 0.000  0.00
Dy: 0.000 0.000 0.804  0.06
Dy: 0.000 0.000 0.196  0.06



b) Material: CeDy2Pt
Method: DFT, PBE
State: relaxed

The total magnetization comes out at 0.00 μB per formula unit. Its space group is No. 225.

Unit cell a=5.084 b=5.084 c=5.082 alpha=59.99 beta=59.99 gamma=60.00
Sites, in units of the cell vectors:
Ce: 0.500 0.500 0.500
Pt: 0.000 0.000 0.000
Dy: 0.250 0.250 0.250
Dy: 0.750 0.750 0.750



c) Material: CeDy2Pt
Method: DFT, PBE
State: relaxed

The total magnetization comes out at 1.82 μB per formula unit. Its space group is No. 160.

Unit cell a=3.876 b=3.876 c=9.528 alpha=78.26 beta=78.26 gamma=60.00
Last column: magnetic moment on the atom in μB.
Sites, in units of the cell vectors:
Ce: 0.502 0.502 0.495  1.12
Dy: 0.060 0.060 0.820  0.11
Dy: 0.272 0.272 0.183  0.06
Pt: 0.666 0.666 0.002  0.01



Short version: a) is the most stable of them.



a) Material: CeDyPu
Method: DFT, PBE
State: relaxed

The total magnetization comes out at 5.17 μB per formula unit. Its space group is No. 107.

Unit cell a=3.443 b=3.443 c=7.529 alpha=103.22 beta=103.22 gamma=90.00
Last column: magnetic moment on the atom in μB.
Sites, in units of the cell vectors:
Dy: 0.332 0.332 0.664  0.12
Ce: 0.011 0.011 0.022  0.22
Pu: 0.657 0.657 0.314  -5.35



b) Material: CeDyPu
Method: DFT, PBE
State: relaxed

The total magnetization comes out at 6.45 μB per formula unit. Its space group is No. 187.

Unit cell a=3.284 b=5.507 c=5.507 alpha=120.00 beta=90.00 gamma=90.00
Last column: magnetic moment on the atom in μB.
Sites, in units of the cell vectors:
Dy: 0.167 0.333 0.667  0.05
Ce: 0.667 0.667 0.333  0.45
Pu: 0.166 0.000 0.000  5.52



Short version: a) is the most stable of them.



a) Material: Ce2DyPu
Method: DFT, PBE
State: relaxed

The total magnetization comes out at 8.81 μB per formula unit. Its space group is No. 225.

Unit cell a=5.468 b=5.468 c=5.468 alpha=60.00 beta=60.00 gamma=60.00
Last column: magnetic moment on the atom in μB.
Sites, in units of the cell vectors:
Dy: 0.500 0.500 0.500  0.17
Ce: 0.250 0.250 0.250  0.90
Ce: 0.750 0.750 0.750  0.90
Pu: 0.000 0.000 0.000  5.63



b) Material: Ce2DyPu
Method: DFT, PBE
State: relaxed

The total magnetization comes out at 4.45 μB per formula unit. Its space group is No. 123.

Unit cell a=3.381 b=3.381 c=9.665 alpha=90.00 beta=90.00 gamma=90.00
Last column: magnetic moment on the atom in μB.
Sites, in units of the cell vectors:
Dy: 0.500 0.500 0.000  -0.14
Ce: 0.000 0.000 0.729  -0.23
Ce: 0.000 0.000 0.271  -0.23
Pu: 0.500 0.500 0.500  5.06



c) Material: Ce2DyPu
Method: DFT, PBE
State: relaxed

The total magnetization comes out at 1.34 μB per formula unit. Its space group is No. 166.

Unit cell a=3.567 b=3.567 c=10.065 alpha=79.79 beta=79.79 gamma=60.00
Last column: magnetic moment on the atom in μB.
Sites, in units of the cell vectors:
Dy: 0.000 0.000 0.000  0.06
Ce: 0.113 0.113 0.660  -0.02
Ce: 0.887 0.887 0.340  -0.02
Pu: 0.500 0.500 0.500  1.36



Short version: b) is the most stable of them.



a) Material: Ce2DyPu
Method: DFT, PBE
State: relaxed

The total magnetization comes out at 0.00 μB per formula unit. Its space group is No. 160.

Unit cell a=3.638 b=3.638 c=9.544 alpha=79.01 beta=79.01 gamma=60.00
Sites, in units of the cell vectors:
Ce: 0.113 0.113 0.662
Ce: 0.223 0.223 0.330
Dy: 0.662 0.662 0.013
Pu: 0.502 0.502 0.495



b) Material: Ce2DyPu
Method: DFT, PBE
State: relaxed

The total magnetization comes out at 6.99 μB per formula unit. Its space group is No. 123.

Unit cell a=4.717 b=4.871 c=4.871 alpha=90.00 beta=90.00 gamma=90.00
Last column: magnetic moment on the atom in μB.
Sites, in units of the cell vectors:
Dy: 0.500 0.500 0.500  0.03
Ce: 0.000 0.000 0.500  0.49
Ce: 0.000 0.500 0.000  0.49
Pu: 0.500 0.000 0.000  5.41



Short version: b) is the most stable of them.